FeBi2PbO6 | PBE with a Hubbard U | relaxed

Structure (CIF):
```
data_FeBi2PbO6
_chemical_formula_sum 'Fe3 Bi6 Pb3 O18'
_cell_length_a 5.8966
_cell_length_b 5.8966
_cell_length_c 14.9831
_cell_angle_alpha 90.00
_cell_angle_beta 90.00
_cell_angle_gamma 120.00
_symmetry_space_group_name_H-M 'R 3'
_symmetry_Int_Tables_number 146
_symmetry_space_group_name_Hall 'R 3'
loop_
_atom_site_label
_atom_site_type_symbol
_atom_site_fract_x
_atom_site_fract_y
_atom_site_fract_z
_atom_site_occupancy
Fe1 Fe 0.0000 0.0000 0.0000 1
Bi1 Bi 0.0000 0.0000 0.2921 1
Bi2 Bi 0.0000 0.0000 0.7872 1
Pb1 Pb 0.0000 0.0000 0.5104 1
O1 O 0.0704 0.7327 0.0600 1
O2 O 0.0858 0.3922 0.5692 1
```

Volume   15.0 Å³ per atom
Total magnetic moment   12.01 Bohr magnetons per cell
E   -175.1 eV for the cell shown